A:
Density functional theory data (PBE) for a relaxed VIr2Br crystal.

Geometry as extended XYZ:
```
16
Lattice="6.033 0.000 0.000 0.000 6.033 0.000 0.000 0.000 9.481" Properties=species:S:1:pos:R:3 pbc="T T T"
V 0.000 0.000 0.000
V 0.000 3.017 2.370
V 3.017 0.000 7.111
V 3.017 3.017 4.741
Ir 1.337 1.508 1.185
Ir 1.508 4.353 3.556
Ir 1.508 4.696 8.296
Ir 1.680 1.508 5.926
Ir 4.353 4.525 5.926
Ir 4.525 1.337 8.296
Ir 4.525 1.680 3.556
Ir 4.696 4.525 1.185
Br 0.000 0.000 4.741
Br 0.000 3.017 7.111
Br 3.017 0.000 2.370
Br 3.017 3.017 0.000
```

## Properties
Calculated density = 9.92 Mg/m³

B:
Density functional theory data (PBE) for a relaxed VIr2Br crystal.

Geometry as extended XYZ:
```
16
Lattice="6.348 0.000 0.000 0.000 6.348 0.000 0.000 0.000 6.348" Properties=species:S:1:pos:R:3 pbc="T T T"
V 0.000 0.000 0.000
V 0.000 3.174 3.174
V 3.174 0.000 3.174
V 3.174 3.174 0.000
Ir 1.587 1.587 1.587
Ir 1.587 1.587 4.761
Ir 1.587 4.761 1.587
Ir 1.587 4.761 4.761
Ir 4.761 1.587 1.587
Ir 4.761 1.587 4.761
Ir 4.761 4.761 1.587
Ir 4.761 4.761 4.761
Br 0.000 0.000 3.174
Br 0.000 3.174 0.000
Br 3.174 0.000 0.000
Br 3.174 3.174 3.174
```

## Properties
Calculated density = 13.38 Mg/m³

Which is the most stable structure? A is the most stable.